First-principles (PBE-GGA) data for an optimized crystal structure of MgNb2P, as listed in the Alexandria database.

DOS at the Fermi energy in states/eV per cell: 6.67
Space group: Fm-3m
Total DFT energy (no corrections) in eV/atom: -6.60
Energy relative to the elements in eV per atom: 0.189

Unit cell a=4.5302 b=4.5302 c=4.5302 alpha=60.00 beta=60.00 gamma=60.00
Fractional positions:
Nb  0.2500  0.2500  0.2500
P  0.5000  0.5000  0.5000
Nb  0.7500  0.7500  0.7500
Mg  0.0000  0.0000  0.0000